Below is crystalline LaTa at its relaxed geometry, with properties calculated at the PBE level.

Structure (POSCAR):
```
LaTa
1.0
3.358 -5.023 0.000
3.358 5.023 0.000
0.000 0.000 4.868
La Ta
3 3
Cartesian
4.227 -3.083 0.000
4.227 3.083 0.000
2.542 0.000 2.434
4.795 0.000 0.000
5.538 1.314 2.434
5.538 -1.314 2.434
```

Values from the calculation:
ΔE to the lowest computed polymorph = 179.2 meV/atom
Space group = Amm2, No. 38
DOS(E_F) = 7.7 states/eV/cell